(1)
DFT (PBE) results for a relaxed Mg2CuAu crystal.

Results
DOS(E_F) in states/eV/cell: 0.8
Calculated formation energy in meV per atom: -310
Magnetic moment in μB/f.u.: 0.0
Crystal system: monoclinic

POSCAR file:
```
Mg2CuAu
1.0
4.942 -1.614 0.000
4.942 1.614 0.000
-1.522 0.000 4.314
Mg Cu Au
2 1 1
Direct
0.000 0.000 0.000 Mg
0.217 0.217 0.665 Mg
0.744 0.744 0.182 Cu
0.467 0.467 0.475 Au
```

(2)
DFT (PBE) results for a relaxed MgCu2Au6 crystal.

Results
DOS(E_F) in states/eV/cell: 3.2
Calculated formation energy in meV per atom: -162
Magnetic moment in μB/f.u.: 0.0
Excess energy over the best structure of this formula in the dataset in meV/atom: 0
Crystal system: monoclinic

POSCAR file:
```
MgCu2Au6
1.0
4.442 -2.067 0.000
4.442 2.067 0.000
-2.296 0.000 8.216
Mg Cu Au
1 2 6
Direct
0.000 0.000 0.000 Mg
0.325 0.325 0.770 Cu
0.675 0.675 0.230 Cu
0.001 0.001 0.320 Au
0.333 0.333 0.443 Au
0.337 0.337 0.102 Au
0.663 0.663 0.898 Au
0.667 0.667 0.557 Au
0.999 0.999 0.680 Au
```

(3)
DFT (PBE) results for a relaxed Mg2Cu3Au4 crystal.

Results
DOS(E_F) in states/eV/cell: 2.3
Calculated formation energy in meV per atom: -285
Magnetic moment in μB/f.u.: 0.0
Crystal system: monoclinic

POSCAR file:
```
Mg2Cu3Au4
1.0
4.333 -2.070 0.000
4.333 2.070 0.000
-2.387 0.000 7.996
Mg Cu Au
2 3 4
Direct
0.182 0.182 0.229 Mg
0.818 0.818 0.771 Mg
0.154 0.154 0.550 Cu
0.500 0.500 0.000 Cu
0.846 0.846 0.450 Cu
0.160 0.160 0.887 Au
0.477 0.477 0.662 Au
0.523 0.523 0.338 Au
0.840 0.840 0.113 Au
```

(4)
DFT (PBE) results for a relaxed Mg6CuAu12 crystal.

Results
DOS(E_F) in states/eV/cell: 6.8
Calculated formation energy in meV per atom: -395
Magnetic moment in μB/f.u.: 0.0
Crystal system: trigonal

POSCAR file:
```
Mg6CuAu12
1.0
5.072 2.929 3.906
-5.072 2.929 3.906
0.000 -5.857 3.906
Mg Cu Au
6 1 12
Direct
0.208 0.383 0.766 Mg
0.234 0.792 0.617 Mg
0.383 0.766 0.208 Mg
0.617 0.234 0.792 Mg
0.766 0.208 0.383 Mg
0.792 0.617 0.234 Mg
0.500 0.500 0.500 Cu
0.043 0.943 0.298 Au
0.057 0.702 0.957 Au
0.143 0.473 0.364 Au
0.298 0.043 0.943 Au
0.364 0.143 0.473 Au
0.473 0.364 0.143 Au
0.527 0.636 0.857 Au
0.636 0.857 0.527 Au
0.702 0.957 0.057 Au
0.857 0.527 0.636 Au
0.943 0.298 0.043 Au
0.957 0.057 0.702 Au
```

(5)
DFT (PBE) results for a relaxed Mg2Cu2Au crystal.

Results
DOS(E_F) in states/eV/cell: 1.3
Calculated formation energy in meV per atom: -163
Magnetic moment in μB/f.u.: 0.0
Excess energy over the best structure of this formula in the dataset in meV/atom: 44
Crystal system: tetragonal

POSCAR file:
```
Mg2Cu2Au
1.0
-1.701 1.701 7.445
1.701 -1.701 7.445
1.701 1.701 -7.445
Mg Cu Au
2 2 1
Direct
0.105 0.105 0.000 Mg
0.895 0.895 0.000 Mg
0.250 0.750 0.500 Cu
0.750 0.250 0.500 Cu
0.500 0.500 0.000 Au
```

(6)
DFT (PBE) results for a relaxed Mg2CuAu9 crystal.

Results
DOS(E_F) in states/eV/cell: 2.7
Calculated formation energy in meV per atom: -267
Magnetic moment in μB/f.u.: 0.0
Crystal system: tetragonal

POSCAR file:
```
Mg2CuAu9
1.0
4.164 0.000 0.000
0.000 4.164 0.000
0.000 0.000 12.131
Mg Cu Au
2 1 9
Direct
0.000 0.000 0.172 Mg
0.000 0.000 0.828 Mg
0.000 0.000 0.500 Cu
0.000 0.500 0.000 Au
0.000 0.500 0.338 Au
0.000 0.500 0.662 Au
0.500 0.000 0.000 Au
0.500 0.000 0.338 Au
0.500 0.000 0.662 Au
0.500 0.500 0.170 Au
0.500 0.500 0.500 Au
0.500 0.500 0.830 Au
```

(7)
DFT (PBE) results for a relaxed Mg2CuAu crystal.

Results
DOS(E_F) in states/eV/cell: 1.9
Calculated formation energy in meV per atom: -255
Magnetic moment in μB/f.u.: 0.0
Crystal system: cubic

POSCAR file:
```
Mg2CuAu
1.0
0.000 3.223 3.223
3.223 0.000 3.223
3.223 3.223 0.000
Mg Cu Au
2 1 1
Direct
0.000 0.000 0.000 Mg
0.250 0.250 0.250 Mg
0.500 0.500 0.500 Cu
0.750 0.750 0.750 Au
```

(8)
DFT (PBE) results for a relaxed MgCu4Au5 crystal.

Results
DOS(E_F) in states/eV/cell: 2.8
Calculated formation energy in meV per atom: -153
Magnetic moment in μB/f.u.: 0.0
Crystal system: tetragonal

POSCAR file:
```
MgCu4Au5
1.0
3.097 0.000 0.000
0.000 3.097 0.000
0.000 0.000 16.267
Mg Cu Au
1 4 5
Direct
0.000 0.000 0.000 Mg
0.000 0.000 0.210 Cu
0.000 0.000 0.403 Cu
0.000 0.000 0.597 Cu
0.000 0.000 0.790 Cu
0.500 0.500 0.111 Au
0.500 0.500 0.307 Au
0.500 0.500 0.500 Au
0.500 0.500 0.693 Au
0.500 0.500 0.889 Au
```

(9)
DFT (PBE) results for a relaxed Mg2Cu2Au7 crystal.

Results
DOS(E_F) in states/eV/cell: 4.6
Calculated formation energy in meV per atom: -39
Magnetic moment in μB/f.u.: 0.0
Crystal system: monoclinic

POSCAR file:
```
Mg2Cu2Au7
1.0
4.694 -4.263 0.000
4.694 4.263 0.000
-0.008 0.000 5.538
Mg Cu Au
2 2 7
Direct
0.195 0.805 0.000 Mg
0.805 0.195 0.000 Mg
0.269 0.269 0.500 Cu
0.731 0.731 0.500 Cu
0.000 0.000 0.500 Au
0.000 0.500 0.246 Au
0.000 0.500 0.754 Au
0.500 0.000 0.246 Au
0.500 0.000 0.754 Au
0.500 0.500 0.245 Au
0.500 0.500 0.755 Au
```

(10)
DFT (PBE) results for a relaxed Mg2CuAu crystal.

Results
DOS(E_F) in states/eV/cell: 1.3
Calculated formation energy in meV per atom: -236
Magnetic moment in μB/f.u.: 0.0
Crystal system: tetragonal

POSCAR file:
```
Mg2CuAu
1.0
3.342 0.000 0.000
0.000 3.342 0.000
0.000 0.000 6.289
Mg Cu Au
2 1 1
Direct
0.000 0.000 0.000 Mg
0.500 0.500 0.321 Mg
0.500 0.500 0.785 Cu
0.000 0.000 0.552 Au
```

(11)
DFT (PBE) results for a relaxed Mg8CuAu2 crystal.

Results
DOS(E_F) in states/eV/cell: 3.5
Calculated formation energy in meV per atom: -277
Magnetic moment in μB/f.u.: 0.0
Excess energy over the best structure of this formula in the dataset in meV/atom: 18
Crystal system: orthorhombic

POSCAR file:
```
Mg8CuAu2
1.0
-2.240 3.768 6.396
2.240 -3.768 6.396
2.240 3.768 -6.396
Mg Cu Au
8 1 2
Direct
0.120 0.343 0.777 Mg
0.144 0.144 0.000 Mg
0.306 0.000 0.306 Mg
0.434 0.657 0.777 Mg
0.566 0.343 0.223 Mg
0.694 0.000 0.694 Mg
0.856 0.856 0.000 Mg
0.880 0.657 0.223 Mg
0.000 0.500 0.500 Cu
0.309 0.809 0.500 Au
0.691 0.191 0.500 Au
```

(12)
DFT (PBE) results for a relaxed MgCu2Au4 crystal.

Results
DOS(E_F) in states/eV/cell: 1.6
Calculated formation energy in meV per atom: -7
Magnetic moment in μB/f.u.: 0.0
Excess energy over the best structure of this formula in the dataset in meV/atom: 139
Crystal system: triclinic

POSCAR file:
```
MgCu2Au4
1.0
4.903 0.000 0.000
0.072 5.578 0.000
2.412 2.721 4.844
Mg Cu Au
1 2 4
Direct
0.000 0.000 0.000 Mg
0.228 0.617 0.768 Cu
0.772 0.383 0.232 Cu
0.000 0.000 0.500 Au
0.000 0.500 0.500 Au
0.499 0.247 0.000 Au
0.501 0.753 0.000 Au
```

(13)
DFT (PBE) results for a relaxed MgCu6Au8 crystal.

Results
DOS(E_F) in states/eV/cell: 4.5
Calculated formation energy in meV per atom: 7
Magnetic moment in μB/f.u.: 0.0
Crystal system: trigonal

POSCAR file:
```
MgCu6Au8
1.0
4.167 2.406 4.180
-4.167 2.406 4.180
0.000 -4.812 4.180
Mg Cu Au
1 6 8
Direct
0.000 0.000 0.000 Mg
0.224 0.574 0.429 Cu
0.426 0.571 0.776 Cu
0.429 0.224 0.574 Cu
0.571 0.776 0.426 Cu
0.574 0.429 0.224 Cu
0.776 0.426 0.571 Cu
0.080 0.392 0.814 Au
0.186 0.920 0.608 Au
0.226 0.226 0.226 Au
0.392 0.814 0.080 Au
0.608 0.186 0.920 Au
0.774 0.774 0.774 Au
0.814 0.080 0.392 Au
0.920 0.608 0.186 Au
```

(14)
DFT (PBE) results for a relaxed Mg3CuAu2 crystal.

Results
DOS(E_F) in states/eV/cell: 1.4
Calculated formation energy in meV per atom: -441
Magnetic moment in μB/f.u.: 0.0
Crystal system: orthorhombic

POSCAR file:
```
Mg3CuAu2
1.0
2.278 -6.823 0.000
2.278 6.823 0.000
0.000 0.000 3.346
Mg Cu Au
3 1 2
Direct
0.000 0.000 0.000 Mg
0.335 0.665 0.000 Mg
0.665 0.335 0.000 Mg
0.500 0.500 0.500 Cu
0.163 0.837 0.500 Au
0.837 0.163 0.500 Au
```

(15)
DFT (PBE) results for a relaxed Mg2CuAu crystal.

Results
DOS(E_F) in states/eV/cell: 1.2
Calculated formation energy in meV per atom: -350
Magnetic moment in μB/f.u.: 0.0
Crystal system: orthorhombic

POSCAR file:
```
Mg2CuAu
1.0
3.256 0.000 0.000
0.000 3.334 0.000
0.000 0.000 6.237
Mg Cu Au
2 1 1
Direct
0.000 0.000 0.242 Mg
0.000 0.000 0.758 Mg
0.500 0.500 0.000 Cu
0.500 0.500 0.500 Au
```

(16)
DFT (PBE) results for a relaxed Mg2CuAu5 crystal.

Results
DOS(E_F) in states/eV/cell: 3.9
Calculated formation energy in meV per atom: -372
Magnetic moment in μB/f.u.: 0.0
Crystal system: orthorhombic

POSCAR file:
```
Mg2CuAu5
1.0
5.693 0.000 0.000
0.000 11.400 0.000
0.000 0.000 4.232
Mg Cu Au
4 2 10
Direct
0.216 0.134 0.000 Mg
0.284 0.634 0.000 Mg
0.716 0.366 0.000 Mg
0.784 0.866 0.000 Mg
0.000 0.500 0.500 Cu
0.500 0.000 0.500 Cu
0.000 0.000 0.500 Au
0.032 0.743 0.500 Au
0.211 0.391 0.000 Au
0.289 0.891 0.000 Au
0.468 0.243 0.500 Au
0.500 0.500 0.500 Au
0.532 0.757 0.500 Au
0.711 0.109 0.000 Au
0.789 0.609 0.000 Au
0.968 0.257 0.500 Au
```

(17)
DFT (PBE) results for a relaxed Mg2CuAu crystal.

Results
DOS(E_F) in states/eV/cell: 0.4
Calculated formation energy in meV per atom: -335
Magnetic moment in μB/f.u.: 0.0
Crystal system: tetragonal

POSCAR file:
```
Mg2CuAu
1.0
-1.976 1.976 4.277
1.976 -1.976 4.277
1.976 1.976 -4.277
Mg Cu Au
2 1 1
Direct
0.000 0.000 0.000 Mg
0.750 0.250 0.500 Mg
0.500 0.500 0.000 Cu
0.250 0.750 0.500 Au
```

(18)
DFT (PBE) results for a relaxed Mg2CuAu crystal.

Results
DOS(E_F) in states/eV/cell: 2.3
Calculated formation energy in meV per atom: -49
Magnetic moment in μB/f.u.: 0.0
Crystal system: tetragonal

POSCAR file:
```
Mg2CuAu
1.0
-3.641 3.641 2.773
3.641 -3.641 2.773
3.641 3.641 -2.773
Mg Cu Au
4 2 2
Direct
0.115 0.625 0.990 Mg
0.375 0.365 0.490 Mg
0.635 0.125 0.010 Mg
0.875 0.885 0.510 Mg
0.000 0.000 0.000 Cu
0.750 0.250 0.500 Cu
0.250 0.750 0.500 Au
0.500 0.500 0.000 Au
```

(19)
DFT (PBE) results for a relaxed MgCu7Au12 crystal.

Results
DOS(E_F) in states/eV/cell: 7.5
Calculated formation energy in meV per atom: -41
Magnetic moment in μB/f.u.: 0.0
Crystal system: trigonal

POSCAR file:
```
MgCu7Au12
1.0
5.903 3.408 2.731
-5.903 3.408 2.731
0.000 -6.816 2.731
Mg Cu Au
1 7 12
Direct
0.000 0.000 0.000 Mg
0.021 0.336 0.901 Cu
0.099 0.979 0.664 Cu
0.336 0.901 0.021 Cu
0.500 0.500 0.500 Cu
0.664 0.099 0.979 Cu
0.901 0.021 0.336 Cu
0.979 0.664 0.099 Cu
0.027 0.385 0.279 Au
0.227 0.361 0.661 Au
0.279 0.027 0.385 Au
0.339 0.773 0.639 Au
0.361 0.661 0.227 Au
0.385 0.279 0.027 Au
0.615 0.721 0.973 Au
0.639 0.339 0.773 Au
0.661 0.227 0.361 Au
0.721 0.973 0.615 Au
0.773 0.639 0.339 Au
0.973 0.615 0.721 Au
```

(20)
DFT (PBE) results for a relaxed MgCuAu3 crystal.

Results
DOS(E_F) in states/eV/cell: 2.5
Calculated formation energy in meV per atom: -227
Magnetic moment in μB/f.u.: 0.0
Excess energy over the best structure of this formula in the dataset in meV/atom: 60
Crystal system: orthorhombic

POSCAR file:
```
MgCuAu3
1.0
4.142 0.000 0.000
0.000 6.900 0.000
0.000 0.000 6.231
Mg Cu Au
2 2 6
Direct
0.250 0.250 0.234 Mg
0.750 0.750 0.766 Mg
0.250 0.750 0.053 Cu
0.750 0.250 0.947 Cu
0.250 0.043 0.786 Au
0.250 0.457 0.786 Au
0.250 0.750 0.470 Au
0.750 0.250 0.530 Au
0.750 0.543 0.214 Au
0.750 0.957 0.214 Au
```

(21)
DFT (PBE) results for a relaxed Mg4CuAu5 crystal.

Results
DOS(E_F) in states/eV/cell: 2.5
Calculated formation energy in meV per atom: -496
Magnetic moment in μB/f.u.: 0.0
Crystal system: tetragonal

POSCAR file:
```
Mg4CuAu5
1.0
3.329 0.000 0.000
0.000 3.329 0.000
0.000 0.000 15.754
Mg Cu Au
4 1 5
Direct
0.000 0.000 0.103 Mg
0.000 0.000 0.311 Mg
0.000 0.000 0.689 Mg
0.000 0.000 0.897 Mg
0.000 0.000 0.500 Cu
0.500 0.500 0.000 Au
0.500 0.500 0.207 Au
0.500 0.500 0.409 Au
0.500 0.500 0.591 Au
0.500 0.500 0.793 Au
```

(22)
DFT (PBE) results for a relaxed Mg2CuAu crystal.

Results
DOS(E_F) in states/eV/cell: 1.2
Calculated formation energy in meV per atom: -356
Magnetic moment in μB/f.u.: 0.0
Crystal system: tetragonal

POSCAR file:
```
Mg2CuAu
1.0
4.528 0.000 0.000
0.000 4.528 0.000
0.000 0.000 3.304
Mg Cu Au
2 1 1
Direct
0.000 0.500 0.000 Mg
0.500 0.000 0.000 Mg
0.000 0.000 0.500 Cu
0.500 0.500 0.500 Au
```

(23)
DFT (PBE) results for a relaxed Mg4CuAu2 crystal.

Results
DOS(E_F) in states/eV/cell: 3.2
Calculated formation energy in meV per atom: -413
Magnetic moment in μB/f.u.: 0.0
Crystal system: trigonal

POSCAR file:
```
Mg4CuAu2
1.0
2.302 1.329 7.252
-2.302 1.329 7.252
0.000 -2.659 7.252
Mg Cu Au
4 1 2
Direct
0.120 0.120 0.120 Mg
0.373 0.373 0.373 Mg
0.627 0.627 0.627 Mg
0.880 0.880 0.880 Mg
0.500 0.500 0.500 Cu
0.247 0.247 0.247 Au
0.753 0.753 0.753 Au
```